Compound: Mn2GaTcO6
Source: Alexandria
Functional: PBE+U
Structure: relaxed

Computed properties:
energy = -73.4 eV for the cell shown
space group = No. 146
D(E_F) = 5.0 states/eV per cell

```
data_Mn2GaTcO6
_chemical_formula_sum 'Mn2 Ga1 Tc1 O6'
_cell_length_a 5.2958
_cell_length_b 5.2951
_cell_length_c 5.5226
_cell_angle_alpha 61.36
_cell_angle_beta 61.36
_cell_angle_gamma 59.99
_symmetry_space_group_name_H-M 'P 1'
_symmetry_Int_Tables_number 1
loop_
_symmetry_equiv_pos_as_xyz
'x,y,z'
loop_
_atom_site_label
_atom_site_fract_x
_atom_site_fract_y
_atom_site_fract_z
Mn1 0.5308 0.5308 0.4077
Mn2 0.0312 0.0312 0.9064
Ga1 0.3111 0.3110 0.0667
Tc1 0.8174 0.8173 0.5481
O1 0.5951 0.1895 0.2647
O2 0.1895 0.9507 0.2649
O3 0.9508 0.5949 0.2648
O4 0.4573 0.6902 0.7639
O5 0.6899 0.0886 0.7641
O6 0.0886 0.4573 0.7640
```